1.
{"formula": "Na2AsP", "functional": "GGA-PBE", "state": "optimized geometry", "lattice": [[-2.726, 4.050, 9.658], [6.633, -7.055, 4.831], [3.766, 0.094, 7.087]], "species": ["P", "P", "As", "As", "Na", "Na", "Na", "Na"], "fractional_positions": [[0.500, 0.500, 0.000], [0.250, 0.750, 0.500], [0.000, 0.000, 0.000], [0.750, 0.250, 0.500], [0.380, 0.125, 0.250], [0.370, 0.625, 0.250], [0.375, 0.620, 0.750], [0.875, 0.630, 0.750]], "total_energy_ev_per_atom": -3.190, "relative_energy_ev_per_fu": 1.173, "delta_e_f_ev_per_atom": -0.015}

2.
{"formula": "Na2AsP2", "functional": "GGA-PBE", "state": "optimized geometry", "lattice": [[6.750, 0.000, 0.000], [0.000, 6.750, 0.000], [0.000, 0.000, 4.482]], "species": ["P", "P", "P", "P", "As", "As", "Na", "Na", "Na", "Na"], "fractional_positions": [[0.385, 0.885, 0.000], [0.885, 0.615, 0.000], [0.615, 0.115, 0.000], [0.115, 0.385, 0.000], [0.000, 0.000, 0.000], [0.500, 0.500, 0.000], [0.183, 0.683, 0.500], [0.683, 0.817, 0.500], [0.817, 0.317, 0.500], [0.317, 0.183, 0.500]], "total_energy_ev_per_atom": -3.805, "relative_energy_ev_per_fu": 0.000, "delta_e_f_ev_per_atom": -0.184}

3.
{"formula": "Na2As2P", "functional": "GGA-PBE", "state": "optimized geometry", "lattice": [[5.210, 0.000, 2.127], [2.229, 6.335, 1.985], [-0.254, -1.306, 8.068]], "species": ["Na", "Na", "Na", "Na", "As", "As", "As", "As", "P", "P"], "fractional_positions": [[0.123, 0.160, 0.594], [0.877, 0.840, 0.406], [0.264, 0.641, 0.832], [0.736, 0.359, 0.168], [0.571, 0.297, 0.562], [0.429, 0.703, 0.438], [0.328, 0.248, 0.096], [0.672, 0.752, 0.904], [0.538, 0.104, 0.819], [0.462, 0.896, 0.181]], "total_energy_ev_per_atom": -3.608, "relative_energy_ev_per_fu": 0.000, "delta_e_f_ev_per_atom": -0.138}

4.
{"formula": "Na2AsPPd6", "functional": "GGA-PBE", "state": "optimized geometry", "lattice": [[-4.568, -2.320, -3.067], [4.452, -1.319, -5.631], [1.837, -8.021, 3.332]], "species": ["Na", "Na", "Na", "Na", "As", "As", "P", "P", "Pd", "Pd", "Pd", "Pd", "Pd", "Pd", "Pd", "Pd", "Pd", "Pd", "Pd", "Pd"], "fractional_positions": [[0.500, 0.717, 0.285], [0.000, 0.283, 0.785], [0.500, 0.717, 0.715], [0.000, 0.283, 0.215], [0.000, 0.718, 0.500], [0.500, 0.282, 0.000], [0.500, 0.229, 0.500], [0.000, 0.771, 0.000], [0.500, 0.138, 0.252], [0.500, 0.138, 0.748], [0.000, 0.862, 0.248], [0.000, 0.862, 0.752], [0.230, 0.010, 0.500], [0.770, 0.010, 0.500], [0.226, 0.438, 0.500], [0.774, 0.438, 0.500], [0.726, 0.562, 0.000], [0.274, 0.562, 0.000], [0.270, 0.990, 0.000], [0.730, 0.990, 0.000]], "total_energy_ev_per_atom": -4.750, "delta_e_f_ev_per_atom": -0.365}

5.
{"formula": "Na2AsPPt6", "functional": "GGA-PBE", "state": "optimized geometry", "lattice": [[5.605, 0.000, 0.000], [0.000, 7.973, 0.000], [0.000, 0.000, 8.565]], "species": ["Na", "Na", "Na", "Na", "As", "As", "P", "P", "Pt", "Pt", "Pt", "Pt", "Pt", "Pt", "Pt", "Pt", "Pt", "Pt", "Pt", "Pt"], "fractional_positions": [[0.500, 0.714, 0.270], [0.000, 0.286, 0.770], [0.500, 0.714, 0.730], [0.000, 0.286, 0.230], [0.000, 0.727, 0.500], [0.500, 0.273, 0.000], [0.500, 0.248, 0.500], [0.000, 0.752, 0.000], [0.500, 0.116, 0.250], [0.500, 0.116, 0.750], [0.000, 0.884, 0.250], [0.000, 0.884, 0.750], [0.246, 0.006, 0.500], [0.754, 0.006, 0.500], [0.243, 0.470, 0.500], [0.757, 0.470, 0.500], [0.743, 0.530, 0.000], [0.257, 0.530, 0.000], [0.254, 0.994, 0.000], [0.746, 0.994, 0.000]], "total_energy_ev_per_atom": -5.241, "delta_e_f_ev_per_atom": -0.347}

6.
{"formula": "NaAs2PRu", "functional": "GGA-PBE", "state": "optimized geometry", "lattice": [[-3.370, -2.161, -2.582], [-0.248, -3.422, 3.187], [-3.358, 2.431, 2.348]], "species": ["Ru", "As", "As", "Na", "P"], "fractional_positions": [[0.000, 0.500, 0.000], [0.000, 0.000, 0.500], [0.500, 0.000, 0.000], [0.000, 0.000, 0.000], [0.500, 0.500, 0.500]], "total_energy_ev_per_atom": -3.291, "delta_e_f_ev_per_atom": 1.769}

7.
{"formula": "NaAsP2Ru", "functional": "GGA-PBE", "state": "optimized geometry", "lattice": [[-3.908, 2.080, -1.394], [-0.139, -2.775, -3.752], [-2.500, -3.099, 2.385]], "species": ["Ru", "As", "Na", "P", "P"], "fractional_positions": [[0.000, 0.500, 0.000], [0.500, 0.500, 0.500], [0.000, 0.000, 0.000], [0.000, 0.000, 0.500], [0.500, 0.000, 0.000]], "total_energy_ev_per_atom": -3.414, "delta_e_f_ev_per_atom": 1.799}

8.
{"formula": "NaAsPS2", "functional": "GGA-PBE", "state": "optimized geometry", "lattice": [[-1.351, 2.924, -3.545], [2.472, -2.652, -3.130], [-3.960, -2.773, -0.778]], "species": ["P", "As", "S", "S", "Na"], "fractional_positions": [[0.000, 0.000, 0.500], [0.500, 0.500, 0.500], [0.000, 0.500, 0.000], [0.500, 0.000, 0.000], [0.000, 0.000, 0.000]], "raw_formation_energy_mev_per_atom": 1290.8, "total_energy_ev_per_atom": -2.636, "relative_energy_ev_per_fu": 5.151}

9.
{"formula": "NaAsP2S", "functional": "GGA-PBE", "state": "optimized geometry", "lattice": [[-0.138, 4.858, 0.441], [-4.808, -0.061, -0.835], [-0.799, -0.443, 4.636]], "species": ["P", "P", "As", "S", "Na"], "fractional_positions": [[0.000, 0.500, 0.000], [0.500, 0.000, 0.000], [0.500, 0.500, 0.500], [0.000, 0.000, 0.500], [0.000, 0.000, 0.000]], "raw_formation_energy_mev_per_atom": 1474.5, "total_energy_ev_per_atom": -2.709, "relative_energy_ev_per_fu": 4.919}

10.
{"formula": "NaAsP2S", "functional": "GGA-PBE", "state": "optimized geometry", "lattice": [[-2.266, -3.696, 2.020], [-1.676, -1.313, -4.282], [4.078, -2.889, -0.711]], "species": ["P", "P", "As", "S", "Na"], "fractional_positions": [[0.000, 0.500, 0.000], [0.500, 0.000, 0.000], [0.000, 0.000, 0.000], [0.000, 0.000, 0.500], [0.500, 0.500, 0.500]], "raw_formation_energy_mev_per_atom": 490.7, "total_energy_ev_per_atom": -3.692, "relative_energy_ev_per_fu": 0.000}

11.
{"formula": "NaAsPS2", "functional": "GGA-PBE", "state": "optimized geometry", "lattice": [[-3.006, -2.769, 2.753], [3.685, -0.863, 3.156], [-1.245, 3.843, 2.505]], "species": ["P", "As", "S", "S", "Na"], "fractional_positions": [[0.000, 0.000, 0.500], [0.000, 0.000, 0.000], [0.000, 0.500, 0.000], [0.500, 0.000, 0.000], [0.500, 0.500, 0.500]], "raw_formation_energy_mev_per_atom": 260.5, "total_energy_ev_per_atom": -3.666, "relative_energy_ev_per_fu": 0.000}

12.
{"formula": "NaAsP2S8", "functional": "GGA-PBE", "state": "optimized geometry", "lattice": [[-5.620, -0.099, 1.872], [1.445, -2.507, -5.169], [1.548, -7.841, 4.235]], "species": ["Na", "As", "P", "P", "S", "S", "S", "S", "S", "S", "S", "S"], "fractional_positions": [[0.000, 0.000, 0.000], [0.000, 0.000, 0.500], [0.667, 0.333, 0.268], [0.333, 0.667, 0.732], [0.333, 0.667, 0.952], [0.325, 0.327, 0.326], [0.673, 0.998, 0.326], [0.667, 0.333, 0.048], [0.327, 0.002, 0.674], [0.675, 0.673, 0.674], [0.998, 0.325, 0.674], [0.002, 0.675, 0.326]], "raw_formation_energy_mev_per_atom": -132.2, "total_energy_ev_per_atom": -4.283}